! TeAsI3F6 GGA-PBE relaxed; values from VASP
! calculated volume: 27.26 A^3/atom
! SG: P2_1/c
&SYSTEM
  ibrav = 0, nat = 44, ntyp = 4
/
ATOMIC_SPECIES
Te 127.60 Te.upf
As 74.92 As.upf
I 126.90 I.upf
F 19.00 F.upf
CELL_PARAMETERS angstrom
8.4655 0.0000 0.0000
0.0000 10.9909 0.0000
-2.3590 0.0000 12.8894
ATOMIC_POSITIONS angstrom
Te 1.1393 1.8047 2.4275
Te -0.0402 3.6908 8.8722
Te 6.1467 7.3001 4.0172
Te 4.9671 9.1863 10.4619
As 0.0876 7.9385 7.4836
As 1.2672 8.5479 1.0389
As 4.8393 2.4430 11.8505
As 6.0188 3.0524 5.4058
I 0.1679 1.0828 9.5504
I 1.3474 4.4127 3.1057
I 1.5512 0.5008 4.7518
I 0.3717 4.9946 11.1965
I 3.5673 1.5996 1.2314
I 2.3878 3.8959 7.6761
I 3.7187 7.0950 5.2133
I 2.5392 9.3914 11.6580
I 5.7348 5.9963 1.6929
I 4.5553 10.4901 8.1376
I 4.7591 6.5782 9.7838
I 5.9386 9.9082 3.3391
F -0.9396 2.6969 6.3049
F -2.1191 2.7986 12.7496
F -0.5760 6.3206 7.8769
F 0.6035 10.1658 1.4322
F 0.5210 7.8863 2.5117
F -0.6585 8.6001 8.9564
F 0.7773 7.2648 5.9843
F -0.4022 9.2216 12.4290
F 1.9026 6.9485 0.6300
F 0.7231 9.5379 7.0748
F 1.5632 7.5488 8.3646
F 2.7427 8.9376 1.9199
F 3.3638 2.0533 10.9695
F 4.5433 3.4422 4.5248
F 5.3834 1.4531 5.8147
F 4.2039 4.0424 12.2594
F 6.5087 1.7693 0.4604
F 5.3292 3.7262 6.9051
F 6.7650 2.3908 3.9330
F 5.5854 3.1047 10.3777
F 5.5030 0.8252 11.4572
F 6.6825 4.6703 5.0125
F 8.2256 8.1924 0.1398
F 7.0461 8.2940 6.5845

***

! LaPuNiRu GGA-PBE relaxed; values from VASP
! calculated volume: 20.70 A^3/atom
! polymorph energy (0 for the lowest one): 0 meV/atom
! SG: Cm
! formation enthalpy at 0 K: -0.128 eV per atom
&SYSTEM
  ibrav = 0, nat = 8, ntyp = 4
/
ATOMIC_SPECIES
La 138.91 La.upf
Pu 244.00 Pu.upf
Ni 58.69 Ni.upf
Ru 101.07 Ru.upf
CELL_PARAMETERS angstrom
5.0920 0.0000 0.0000
0.0000 4.5178 0.0000
-0.0278 0.0000 7.2002
ATOMIC_POSITIONS angstrom
La 0.0000 0.0000 0.0000
La 2.5460 2.2589 0.0000
Pu -0.0117 0.0000 3.6227
Pu 2.5343 2.2589 3.6227
Ni -0.0164 2.2589 5.1723
Ni 2.5296 0.0000 5.1723
Ru -0.0070 2.2589 2.0607
Ru 2.5390 0.0000 2.0607

***

! ReAg2Pb GGA-PBE relaxed; values from VASP
! calculated volume: 19.45 A^3/atom
! SG: R-3m
! formation enthalpy at 0 K: 0.666 eV per atom
&SYSTEM
  ibrav = 0, nat = 12, ntyp = 3
/
ATOMIC_SPECIES
Re 186.21 Re.upf
Ag 107.87 Ag.upf
Pb 207.20 Pb.upf
CELL_PARAMETERS angstrom
3.0033 0.0000 0.0000
-1.5017 2.6010 0.0000
0.0000 0.0000 29.8731
ATOMIC_POSITIONS angstrom
Re 0.0000 0.0000 0.0000
Re 0.0000 1.7340 19.9154
Re 1.5017 0.8670 9.9577
Ag 0.0000 0.0000 7.6958
Ag 0.0000 0.0000 22.1773
Ag 0.0000 1.7340 12.2196
Ag 0.0000 1.7340 27.6112
Ag 1.5017 0.8670 2.2619
Ag 1.5017 0.8670 17.6535
Pb 0.0000 0.0000 14.9365
Pb 0.0000 1.7340 4.9789
Pb 1.5017 0.8670 24.8942

***

Calculated total energy list, top to bottom, in eV per atom: -3.58, -8.71, -4.80
DOS(E_F) list, top to bottom, in states/eV per cell: 0.00, 18.09, 11.52